DFT (PBE) results for a relaxed structure of TiFe3Rh4.

Cell: 8.614 5.981 4.310 Å, 90.00 90.00 90.00°
Space group Pmma (No. 51)
One atom of each set of equivalent atoms:
Ti 0.000 0.000 0.000 (multiplicity 2)
Fe 0.000 0.500 0.000 (multiplicity 2)
Fe 0.250 0.000 0.492 (multiplicity 2)
Fe 0.250 0.500 0.490 (multiplicity 2)
Rh 0.000 0.252 0.500 (multiplicity 4)
Rh 0.250 0.252 0.991 (multiplicity 4)

density = 9.4 g/cm3
density of states at the Fermi level = 18.10 states/eV/cell
raw total energy = -8.08 eV per atom

DFT (PBE) results for a relaxed structure of Cs4CuBr5.

Cell: 10.942 10.942 7.304 Å, 90.00 90.00 90.00°
Space group I4 (No. 79)
One atom of each set of equivalent atoms:
Cs 0.092 0.298 0.000 (multiplicity 8)
Cu 0.000 0.000 0.424 (multiplicity 2)
Br 0.000 0.000 0.095 (multiplicity 2)
Br 0.082 0.248 0.505 (multiplicity 8)

density = 3.8 g/cm3
raw total energy = -2.96 eV per atom

DFT (PBE) results for a relaxed structure of TiVTc2Bi.

Cell: 4.643 4.643 4.507 Å, 90.00 90.00 90.00°
Space group P4/mmm (No. 123)
One atom of each set of equivalent atoms:
Ti 0.000 0.000 0.000 (multiplicity 1)
V 0.000 0.000 0.500 (multiplicity 1)
Tc 0.000 0.500 0.000 (multiplicity 2)
Bi 0.500 0.500 0.500 (multiplicity 1)

density = 8.6 g/cm3
density of states at the Fermi level = 6.80 states/eV/cell
raw total energy = -7.19 eV per atom

DFT (PBE) results for a relaxed structure of NaAgCl.

Cell: 11.388 3.816 6.615 Å, 90.00 90.00 90.00°
Space group Amm2 (No. 38)
One atom of each set of equivalent atoms:
Na 0.193 0.000 0.000 (multiplicity 4)
Ag 0.000 0.000 0.667 (multiplicity 2)
Ag 0.500 0.000 0.999 (multiplicity 2)
Cl 0.343 0.000 0.666 (multiplicity 4)

density = 3.8 g/cm3
density of states at the Fermi level = 1.49 states/eV/cell
raw total energy = -2.62 eV per atom

DFT (PBE) results for a relaxed structure of BaTl2Cl.

Cell: 5.403 5.403 8.810 Å, 90.00 90.00 90.00°
Space group I-4m2 (No. 119)
One atom of each set of equivalent atoms:
Ba 0.000 0.000 0.000 (multiplicity 2)
Tl 0.000 0.000 0.500 (multiplicity 2)
Tl 0.000 0.500 0.250 (multiplicity 2)
Cl 0.000 0.500 0.750 (multiplicity 2)

density = 7.5 g/cm3
energy relative to the lowest polymorph listed for this composition = 0.66 eV per formula unit
density of states at the Fermi level = 6.35 states/eV/cell
raw total energy = -2.83 eV per atom

DFT (PBE) results for a relaxed structure of Li2MnAgN.

Cell: 4.102 4.102 3.638 Å, 90.00 90.00 90.00°
Space group P4/mmm (No. 123)
One atom of each set of equivalent atoms:
Li 0.000 0.500 0.000 (multiplicity 2)
Mn 0.000 0.000 0.500 (multiplicity 1)
Ag 0.500 0.500 0.500 (multiplicity 1)
N 0.000 0.000 0.000 (multiplicity 1)

density = 5.2 g/cm3
density of states at the Fermi level = 2.86 states/eV/cell
raw total energy = -5.07 eV per atom

DFT (PBE) results for a relaxed structure of ThZn3CdAg.

Cell: 5.682 17.494 5.077 Å, 90.00 90.00 90.00°
Space group Cmcm (No. 63)
One atom of each set of equivalent atoms:
Th 0.000 0.153 0.250 (multiplicity 4)
Zn 0.000 0.409 0.750 (multiplicity 4)
Zn 0.225 0.000 0.000 (multiplicity 8)
Cd 0.000 0.348 0.250 (multiplicity 4)
Ag 0.000 0.253 0.750 (multiplicity 4)

density = 8.5 g/cm3
density of states at the Fermi level = 16.32 states/eV/cell
raw total energy = -2.56 eV per atom

DFT (PBE) results for a relaxed structure of RbHgI2.

Cell: 9.320 5.892 14.220 Å, 90.00 90.00 90.00°
Space group Pnma (No. 62)
One atom of each set of equivalent atoms:
Rb 0.170 0.250 0.111 (multiplicity 4)
Hg 0.088 0.750 0.360 (multiplicity 4)
I 0.047 0.250 0.860 (multiplicity 4)
I 0.075 0.250 0.378 (multiplicity 4)

density = 4.6 g/cm3
energy relative to the lowest polymorph listed for this composition = 0.04 eV per formula unit
density of states at the Fermi level = 2.83 states/eV/cell
raw total energy = -1.88 eV per atom

DFT (PBE) results for a relaxed structure of Ac5GePb3.

Cell: 10.2156 10.2156 7.3383 Å, 90.00 90.00 120.00°
Space group P6_3/mcm (No. 193)
One atom of each set of equivalent atoms:
Ac 0.0000 0.2508 0.2500 (multiplicity 6)
Ac 0.3333 0.6667 0.0000 (multiplicity 4)
Ge 0.0000 0.0000 0.0000 (multiplicity 2)
Pb 0.0000 0.3928 0.7500 (multiplicity 6)

density = 9.2 g/cm3
density of states at the Fermi level = 19.25 states/eV/cell
raw total energy = -4.61 eV per atom

DFT (PBE) results for a relaxed structure of SnGe2Au.

Cell: 3.2612 3.2612 29.4284 Å, 90.00 90.00 120.00°
Space group R-3m (No. 166, hexagonal axes)
One atom of each set of equivalent atoms:
Sn 0.0000 0.0000 0.0000 (multiplicity 3)
Ge 0.0000 0.0000 0.1001 (multiplicity 6)
Au 0.0000 0.0000 0.5000 (multiplicity 3)

density = 8.5 g/cm3
density of states at the Fermi level = 5.78 states/eV/cell
raw total energy = -3.95 eV per atom

DFT (PBE) results for a relaxed structure of As2PtPb.

Cell: 4.662 3.687 4.927 Å, 90.00 101.77 90.00°
Space group P2/m (No. 10)
One atom of each set of equivalent atoms:
As 0.000 0.000 0.000 (multiplicity 1)
As 0.500 0.500 0.000 (multiplicity 1)
Pt 0.000 0.500 0.500 (multiplicity 1)
Pb 0.500 0.000 0.500 (multiplicity 1)

density = 11.1 g/cm3
density of states at the Fermi level = 1.59 states/eV/cell
raw total energy = -4.52 eV per atom

DFT (PBE) results for a relaxed structure of Cu2Pt.

Cell: 8.844 7.973 4.611 Å, 90.00 98.90 90.00°
Space group C2/c (No. 15)
One atom of each set of equivalent atoms:
Cu 0.000 0.079 0.250 (multiplicity 4)
Cu 0.000 0.245 0.750 (multiplicity 4)
Cu 0.244 0.083 0.997 (multiplicity 8)
Pt 0.000 0.415 0.250 (multiplicity 4)
Pt 0.250 0.250 0.500 (multiplicity 4)

density = 13.3 g/cm3
energy relative to the lowest polymorph listed for this composition = 0.09 eV per formula unit
density of states at the Fermi level = 11.06 states/eV/cell
raw total energy = -4.86 eV per atom

DFT (PBE) results for a relaxed structure of Pu4Ga12Ru.

Cell: 8.646 8.646 8.646 Å, 90.00 90.00 90.00°
Space group Im-3m (No. 229)
One atom of each set of equivalent atoms:
Pu 0.250 0.250 0.250 (multiplicity 8)
Ga 0.000 0.000 0.288 (multiplicity 12)
Ga 0.000 0.250 0.500 (multiplicity 12)
Ru 0.000 0.000 0.000 (multiplicity 2)

density = 9.8 g/cm3
density of states at the Fermi level = 71.04 states/eV/cell
raw total energy = -6.48 eV per atom

DFT (PBE) results for a relaxed structure of Li2SbMo.

Cell: 7.326 7.326 5.280 Å, 90.00 90.00 90.00°
Space group I-42d (No. 122)
One atom of each set of equivalent atoms:
Li 0.247 0.250 0.125 (multiplicity 8)
Sb 0.000 0.000 0.000 (multiplicity 4)
Mo 0.000 0.000 0.500 (multiplicity 4)

density = 5.4 g/cm3
density of states at the Fermi level = 13.75 states/eV/cell
raw total energy = -4.26 eV per atom

DFT (PBE) results for a relaxed structure of MgSc2Ag.

Cell: 3.2380 3.2380 29.3890 Å, 90.00 90.00 120.00°
Space group R3m (No. 160, hexagonal axes)
One atom of each set of equivalent atoms:
Mg 0.0000 0.0000 0.0000 (multiplicity 3)
Sc 0.0000 0.0000 0.2438 (multiplicity 3)
Sc 0.0000 0.0000 0.4889 (multiplicity 3)
Ag 0.0000 0.0000 0.7425 (multiplicity 3)

density = 4.1 g/cm3
density of states at the Fermi level = 11.19 states/eV/cell
raw total energy = -4.30 eV per atom

DFT (PBE) results for a relaxed structure of TbDy2CuSe5.

Cell: 3.987 17.580 11.973 Å, 90.00 90.00 90.00°
Space group Cmc2_1 (No. 36)
One atom of each set of equivalent atoms:
Tb 0.000 0.193 0.000 (multiplicity 4)
Dy 0.000 0.107 0.674 (multiplicity 4)
Dy 0.000 0.120 0.297 (multiplicity 4)
Cu 0.000 0.436 0.446 (multiplicity 4)
Se 0.000 0.041 0.056 (multiplicity 4)
Se 0.000 0.289 0.670 (multiplicity 4)
Se 0.000 0.317 0.330 (multiplicity 4)
Se 0.000 0.358 0.991 (multiplicity 4)
Se 0.000 0.498 0.771 (multiplicity 4)

density = 7.5 g/cm3
density of states at the Fermi level = 0.43 states/eV/cell
raw total energy = -5.46 eV per atom

DFT (PBE) results for a relaxed structure of TbCe2ErS5.

Cell: 4.875 4.875 10.314 Å, 90.00 90.00 90.00°
Space group P4/mmm (No. 123)
One atom of each set of equivalent atoms:
Tb 0.000 0.000 0.000 (multiplicity 1)
Ce 0.500 0.500 0.300 (multiplicity 2)
Er 0.000 0.000 0.500 (multiplicity 1)
S 0.000 0.000 0.246 (multiplicity 2)
S 0.000 0.500 0.500 (multiplicity 2)
S 0.500 0.500 0.000 (multiplicity 1)

density = 5.2 g/cm3
density of states at the Fermi level = 18.37 states/eV/cell
raw total energy = -6.14 eV per atom

DFT (PBE) results for a relaxed structure of Tm2BeCu3Ge4.

Cell: 3.986 3.986 10.397 Å, 90.00 90.00 90.00°
Space group P-4m2 (No. 115)
One atom of each set of equivalent atoms:
Tm 0.000 0.500 0.242 (multiplicity 2)
Be 0.500 0.500 0.000 (multiplicity 1)
Cu 0.000 0.000 0.000 (multiplicity 1)
Cu 0.000 0.500 0.642 (multiplicity 2)
Ge 0.000 0.000 0.500 (multiplicity 1)
Ge 0.000 0.500 0.868 (multiplicity 2)
Ge 0.500 0.500 0.500 (multiplicity 1)

density = 8.3 g/cm3
density of states at the Fermi level = 2.17 states/eV/cell
raw total energy = -4.75 eV per atom

DFT (PBE) results for a relaxed structure of ZrCr2Pb.

Cell: 3.316 4.613 9.554 Å, 90.00 90.00 90.00°
Space group Imm2 (No. 44)
One atom of each set of equivalent atoms:
Zr 0.000 0.000 0.000 (multiplicity 2)
Cr 0.000 0.000 0.465 (multiplicity 2)
Cr 0.000 0.500 0.780 (multiplicity 2)
Pb 0.000 0.500 0.225 (multiplicity 2)

density = 9.1 g/cm3
density of states at the Fermi level = 8.67 states/eV/cell
raw total energy = -7.52 eV per atom

DFT (PBE) results for a relaxed structure of InOs2Pt.

Cell: 2.818 4.729 4.865 Å, 90.00 90.00 90.00°
Space group Pmmm (No. 47)
One atom of each set of equivalent atoms:
In 0.000 0.000 0.000 (multiplicity 1)
Os 0.000 0.500 0.500 (multiplicity 1)
Os 0.500 0.000 0.500 (multiplicity 1)
Pt 0.500 0.500 0.000 (multiplicity 1)

density = 17.7 g/cm3
energy relative to the lowest polymorph listed for this composition = 1.41 eV per formula unit
density of states at the Fermi level = 4.83 states/eV/cell
raw total energy = -7.37 eV per atom